Material: FeNiAu
Method: DFT, GGA-PBE
State: optimized geometry

Cell lengths 5.781, 5.781, 5.781 Å; angles 90.00, 90.00, 90.00 degrees
Space group F-43m (No. 216)
Unique sites:
Fe (0.000, 0.000, 0.000) (multiplicity 4)
Ni (0.250, 0.250, 0.750) (multiplicity 4)
Au (0.250, 0.250, 0.250) (multiplicity 4)

Properties
For the density of states at the Fermi level, the calculation gives 12.05 states/eV/cell. The polymorph energy (0 for the lowest one) is 365 meV/atom.

Material: CaIrSe
Method: DFT, GGA-PBE
State: optimized geometry

Cell lengths 3.533, 3.533, 10.114 Å; angles 90.00, 90.00, 90.00 degrees
Space group I4mm (No. 107)
Unique sites:
Ca (0.000, 0.000, 0.000) (multiplicity 2)
Ir (0.000, 0.000, 0.291) (multiplicity 2)
Se (0.000, 0.000, 0.718) (multiplicity 2)

Properties
For the density of states at the Fermi level, the calculation gives 5.04 states/eV/cell. The polymorph energy (0 for the lowest one) is 412 meV/atom.

Material: NaFeHgCl5
Method: DFT, GGA-PBE
State: optimized geometry

Cell lengths 8.938, 11.325, 9.571 Å; angles 90.00, 112.54, 90.00 degrees
Space group C2/c (No. 15)
Unique sites:
Na (0.000, 0.155, 0.250) (multiplicity 4)
Fe (0.000, 0.175, 0.750) (multiplicity 4)
Hg (0.000, 0.500, 0.000) (multiplicity 4)
Cl (0.000, 0.404, 0.250) (multiplicity 4)
Cl (0.138, 0.288, 0.645) (multiplicity 8)
Cl (0.160, 0.051, 0.932) (multiplicity 8)

Properties
For the density of states at the Fermi level, the calculation gives 16.35 states/eV/cell. The value obtained for the total energy is -3.325 eV per atom.

Material: Ba6As2S3I
Method: DFT, GGA-PBE
State: optimized geometry

Cell lengths 20.661, 4.577, 9.706 Å; angles 90.00, 104.00, 90.00 degrees
Space group C2/m (No. 12)
Unique sites:
Ba (0.001, 0.000, 0.220) (multiplicity 4)
Ba (0.169, 0.500, 0.090) (multiplicity 4)
Ba (0.177, 0.500, 0.584) (multiplicity 4)
As (0.163, 0.000, 0.829) (multiplicity 4)
S (0.000, 0.500, 0.000) (multiplicity 2)
S (0.163, 0.000, 0.335) (multiplicity 4)
I (0.000, 0.500, 0.500) (multiplicity 2)

Properties
For the density of states at the Fermi level, the calculation gives 14.70 states/eV/cell. The value obtained for the total energy is -4.512 eV per atom.

Material: Cu2Ni3Rh4
Method: DFT, GGA-PBE
State: optimized geometry

Cell lengths 12.913, 2.635, 7.053 Å; angles 90.00, 104.38, 90.00 degrees
Space group C2/m (No. 12)
Unique sites:
Cu (0.159, 0.000, 0.201) (multiplicity 4)
Ni (0.000, 0.500, 0.000) (multiplicity 2)
Ni (0.174, 0.500, 0.905) (multiplicity 4)
Rh (0.019, 0.000, 0.691) (multiplicity 4)
Rh (0.161, 0.500, 0.529) (multiplicity 4)

Properties
For the density of states at the Fermi level, the calculation gives 29.62 states/eV/cell. The value obtained for the total energy is -5.989 eV per atom.

Material: AlVSi2Pt
Method: DFT, GGA-PBE
State: optimized geometry

Cell lengths 4.636, 4.636, 4.531 Å; angles 90.00, 90.00, 90.00 degrees
Space group P4/mmm (No. 123)
Unique sites:
Al (0.000, 0.000, 0.000) (multiplicity 1)
V (0.500, 0.500, 0.500) (multiplicity 1)
Si (0.000, 0.500, 0.000) (multiplicity 2)
Pt (0.000, 0.000, 0.500) (multiplicity 1)

Properties
For the density of states at the Fermi level, the calculation gives 5.39 states/eV/cell. The polymorph energy (0 for the lowest one) is 0 meV/atom.

Material: NaHg2As2O7
Method: DFT, GGA-PBE
State: optimized geometry

Cell lengths 5.8214, 5.8214, 22.9053 Å; angles 90.00, 90.00, 120.00 degrees
Space group R32 (No. 155, hexagonal axes)
Unique sites:
Na (0.0000, 0.0000, 0.0000) (multiplicity 3)
Hg (0.0000, 0.0000, 0.2626) (multiplicity 6)
As (0.0000, 0.0000, 0.4227) (multiplicity 6)
O (0.0000, 0.0000, 0.5000) (multiplicity 3)
O (0.0319, 0.4074, 0.2659) (multiplicity 18)

Properties
For the density of states at the Fermi level, the calculation gives 7.02 states/eV/cell. The value obtained for the total energy is -4.772 eV per atom.

Material: DyMgNiPd
Method: DFT, GGA-PBE
State: optimized geometry

Cell lengths 6.632, 6.632, 6.632 Å; angles 90.00, 90.00, 90.00 degrees
Space group F-43m (No. 216)
Unique sites:
Dy (0.000, 0.000, 0.000) (multiplicity 4)
Mg (0.000, 0.000, 0.500) (multiplicity 4)
Ni (0.250, 0.250, 0.250) (multiplicity 4)
Pd (0.250, 0.250, 0.750) (multiplicity 4)

Properties
For the density of states at the Fermi level, the calculation gives 9.40 states/eV/cell. The value obtained for the total energy is -4.821 eV per atom.

Material: Ga2H2Au
Method: DFT, GGA-PBE
State: optimized geometry

Cell lengths 3.182, 3.182, 12.264 Å; angles 90.00, 90.00, 90.00 degrees
Space group I4/mmm (No. 139)
Unique sites:
Ga (0.000, 0.000, 0.145) (multiplicity 4)
H (0.000, 0.500, 0.250) (multiplicity 4)
Au (0.000, 0.000, 0.500) (multiplicity 2)

Properties
For the density of states at the Fermi level, the calculation gives 1.39 states/eV/cell. The polymorph energy (0 for the lowest one) is 0 meV/atom.

Material: MgZr4Cr
Method: DFT, GGA-PBE
State: optimized geometry

Cell lengths 8.197, 8.197, 8.197 Å; angles 90.00, 90.00, 90.00 degrees
Space group F-43m (No. 216)
Unique sites:
Mg (0.000, 0.000, 0.000) (multiplicity 4)
Zr (0.124, 0.124, 0.624) (multiplicity 16)
Cr (0.250, 0.250, 0.250) (multiplicity 4)

Properties
For the density of states at the Fermi level, the calculation gives 25.46 states/eV/cell. The value obtained for the total energy is -7.072 eV per atom.

Material: LiRe3Cl
Method: DFT, GGA-PBE
State: optimized geometry

Cell lengths 4.244, 4.244, 4.244 Å; angles 90.00, 90.00, 90.00 degrees
Space group Pm-3m (No. 221)
Unique sites:
Li (0.000, 0.000, 0.000) (multiplicity 1)
Re (0.000, 0.000, 0.500) (multiplicity 3)
Cl (0.500, 0.500, 0.500) (multiplicity 1)

Properties
For the density of states at the Fermi level, the calculation gives 6.30 states/eV/cell. The polymorph energy (0 for the lowest one) is 640 meV/atom.

Material: ErZnSb2
Method: DFT, GGA-PBE
State: optimized geometry

Cell lengths 4.2105, 4.2105, 20.8520 Å; angles 90.00, 90.00, 120.00 degrees
Space group R-3m (No. 166, hexagonal axes)
Unique sites:
Er (0.0000, 0.0000, 0.0000) (multiplicity 3)
Zn (0.0000, 0.0000, 0.5000) (multiplicity 3)
Sb (0.0000, 0.0000, 0.2417) (multiplicity 6)

Properties
For the density of states at the Fermi level, the calculation gives 8.08 states/eV/cell. The value obtained for the total energy is -3.803 eV per atom.

Material: AcNd6Sm2Tm
Method: DFT, GGA-PBE
State: optimized geometry

Cell lengths 9.402, 15.652, 9.777 Å; angles 90.00, 95.76, 90.00 degrees
Space group C2/c (No. 15)
Unique sites:
Ac (0.000, 0.024, 0.250) (multiplicity 4)
Nd (0.058, 0.188, 0.945) (multiplicity 8)
Nd (0.104, 0.392, 0.116) (multiplicity 8)
Nd (0.214, 0.224, 0.311) (multiplicity 8)
Sm (0.240, 0.443, 0.454) (multiplicity 8)
Tm (0.000, 0.413, 0.750) (multiplicity 4)

Properties
For the density of states at the Fermi level, the calculation gives 56.48 states/eV/cell. The value obtained for the total energy is -4.546 eV per atom.

Material: Th2Cu2Ag
Method: DFT, GGA-PBE
State: optimized geometry

Cell lengths 7.281, 7.281, 4.191 Å; angles 90.00, 90.00, 90.00 degrees
Space group P4/mbm (No. 127)
Unique sites:
Th (0.171, 0.329, 0.000) (multiplicity 4)
Cu (0.124, 0.624, 0.500) (multiplicity 4)
Ag (0.000, 0.000, 0.500) (multiplicity 2)

Properties
For the density of states at the Fermi level, the calculation gives 9.05 states/eV/cell. The polymorph energy (0 for the lowest one) is 2 meV/atom.

Material: SrIrS3
Method: DFT, GGA-PBE
State: optimized geometry

Cell lengths 5.437, 5.437, 5.437 Å; angles 90.00, 90.00, 90.00 degrees
Space group Pm-3m (No. 221)
Unique sites:
Sr (0.000, 0.000, 0.000) (multiplicity 1)
Ir (0.500, 0.500, 0.500) (multiplicity 1)
S (0.000, 0.000, 0.500) (multiplicity 3)

Properties
For the density of states at the Fermi level, the calculation gives 6.08 states/eV/cell. The polymorph energy (0 for the lowest one) is 1925 meV/atom.

Material: LiTl2W
Method: DFT, GGA-PBE
State: optimized geometry

Cell lengths 2.963, 2.963, 9.152 Å; angles 90.00, 90.00, 90.00 degrees
Space group P4/mmm (No. 123)
Unique sites:
Li (0.000, 0.000, 0.000) (multiplicity 1)
Tl (0.500, 0.500, 0.244) (multiplicity 2)
W (0.000, 0.000, 0.500) (multiplicity 1)

Properties
For the density of states at the Fermi level, the calculation gives 1.46 states/eV/cell. The polymorph energy (0 for the lowest one) is 21 meV/atom.

Material: Si2NiPd2
Method: DFT, GGA-PBE
State: optimized geometry

Cell lengths 6.108, 6.108, 3.668 Å; angles 90.00, 90.00, 90.00 degrees
Space group P4/mbm (No. 127)
Unique sites:
Si (0.142, 0.358, 0.000) (multiplicity 4)
Ni (0.000, 0.000, 0.000) (multiplicity 2)
Pd (0.164, 0.664, 0.500) (multiplicity 4)

Properties
For the density of states at the Fermi level, the calculation gives 2.02 states/eV/cell. The value obtained for the total energy is -5.813 eV per atom.

Material: In2HgW
Method: DFT, GGA-PBE
State: optimized geometry

Cell lengths 7.838, 7.838, 5.923 Å; angles 90.00, 90.00, 90.00 degrees
Space group I-42d (No. 122)
Unique sites:
In (0.239, 0.750, 0.125) (multiplicity 8)
Hg (0.000, 0.000, 0.500) (multiplicity 4)
W (0.000, 0.000, 0.000) (multiplicity 4)

Properties
For the density of states at the Fermi level, the calculation gives 17.77 states/eV/cell. The value obtained for the total energy is -3.743 eV per atom.

Material: CdSi2Tc
Method: DFT, GGA-PBE
State: optimized geometry

Cell lengths 3.208, 4.759, 8.593 Å; angles 90.00, 90.00, 90.00 degrees
Space group Cmm2 (No. 35)
Unique sites:
Cd (0.000, 0.000, 0.000) (multiplicity 2)
Si (0.000, 0.000, 0.517) (multiplicity 2)
Si (0.000, 0.500, 0.291) (multiplicity 2)
Tc (0.000, 0.500, 0.722) (multiplicity 2)

Properties
For the density of states at the Fermi level, the calculation gives 5.84 states/eV/cell. The value obtained for the total energy is -5.179 eV per atom.

Material: VTe2PtI
Method: DFT, GGA-PBE
State: optimized geometry

Cell lengths 5.048, 5.048, 5.385 Å; angles 90.00, 90.00, 90.00 degrees
Space group P4/mmm (No. 123)
Unique sites:
V (0.000, 0.000, 0.000) (multiplicity 1)
Te (0.000, 0.500, 0.000) (multiplicity 2)
Pt (0.500, 0.500, 0.500) (multiplicity 1)
I (0.000, 0.000, 0.500) (multiplicity 1)

Properties
For the density of states at the Fermi level, the calculation gives 7.40 states/eV/cell. The polymorph energy (0 for the lowest one) is 0 meV/atom.

Material: CuReRu2
Method: DFT, GGA-PBE
State: optimized geometry

Cell lengths 3.875, 3.875, 3.681 Å; angles 90.00, 90.00, 90.00 degrees
Space group P4/mmm (No. 123)
Unique sites:
Cu (0.000, 0.000, 0.000) (multiplicity 1)
Re (0.500, 0.500, 0.000) (multiplicity 1)
Ru (0.000, 0.500, 0.500) (multiplicity 2)

Properties
For the density of states at the Fermi level, the calculation gives 5.51 states/eV/cell. The polymorph energy (0 for the lowest one) is 182 meV/atom.

Material: Rb2InPt
Method: DFT, GGA-PBE
State: optimized geometry

Cell lengths 8.071, 4.653, 9.950 Å; angles 90.00, 105.12, 90.00 degrees
Space group Cm (No. 8)
Unique sites:
Rb (0.000, 0.000, 0.000) (multiplicity 2)
Rb (0.168, 0.000, 0.527) (multiplicity 2)
In (0.251, 0.500, 0.264) (multiplicity 2)
Pt (0.418, 0.000, 0.263) (multiplicity 2)

Properties
For the density of states at the Fermi level, the calculation gives 4.90 states/eV/cell. The value obtained for the total energy is -2.891 eV per atom.

Material: BaPuAg2Br8
Method: DFT, GGA-PBE
State: optimized geometry

Cell lengths 7.210, 7.210, 15.034 Å; angles 90.00, 90.00, 90.00 degrees
Space group I-4 (No. 82)
Unique sites:
Ba (0.000, 0.000, 0.000) (multiplicity 2)
Pu (0.000, 0.500, 0.750) (multiplicity 2)
Ag (0.000, 0.000, 0.500) (multiplicity 2)
Ag (0.000, 0.500, 0.250) (multiplicity 2)
Br (0.154, 0.283, 0.593) (multiplicity 8)
Br (0.192, 0.784, 0.176) (multiplicity 8)

Properties
For the density of states at the Fermi level, the calculation gives 30.38 states/eV/cell. The value obtained for the total energy is -4.085 eV per atom.

Material: CeErTlSn
Method: DFT, GGA-PBE
State: optimized geometry

Cell lengths 3.959, 3.959, 7.099 Å; angles 90.00, 90.00, 90.00 degrees
Space group P4mm (No. 99)
Unique sites:
Ce (0.000, 0.000, 0.000) (multiplicity 1)
Er (0.000, 0.000, 0.480) (multiplicity 1)
Tl (0.500, 0.500, 0.724) (multiplicity 1)
Sn (0.500, 0.500, 0.257) (multiplicity 1)

Properties
For the density of states at the Fermi level, the calculation gives 8.53 states/eV/cell. The polymorph energy (0 for the lowest one) is 0 meV/atom.

Material: Th3Au2
Method: DFT, GGA-PBE
State: optimized geometry

Cell lengths 7.937, 7.937, 4.400 Å; angles 90.00, 90.00, 90.00 degrees
Space group P4/mbm (No. 127)
Unique sites:
Th (0.000, 0.000, 0.000) (multiplicity 2)
Th (0.162, 0.338, 0.500) (multiplicity 4)
Au (0.130, 0.630, 0.000) (multiplicity 4)

Properties
For the density of states at the Fermi level, the calculation gives 10.39 states/eV/cell. The polymorph energy (0 for the lowest one) is 0 meV/atom.